Crystalline CsRu3F at its relaxed geometry. Source: the Alexandria database, functional PBEsol.

* total moment: 5.5 μB/cell
* crystal system: cubic
* uncorrected energy: -18.8 eV for the cell shown
* uncorrected formation energy: 2.925 eV/atom

Cell lengths 4.9096, 4.9096, 4.9096 Å; angles 90.00, 90.00, 90.00 degrees
Last column: nearest neighbours and their distance in Å.
Element x y z (fractional)
Cs1 0.0000 0.0000 0.0000  6 Ru 2.45
Ru1 0.0000 0.0000 0.5000  2 Cs 2.45
Ru2 0.0000 0.5000 0.0000  2 Cs 2.45
Ru3 0.5000 0.0000 0.0000  2 Cs 2.45
F1 0.5000 0.5000 0.5000  12 Ru 3.47